No. 1
This record from Alexandria describes a relaxed ZrAg2Se crystal. The functional is PBEsol.

Geometry as POSCAR:
```
ZrAg2Se
1.0
-2.072 2.519 1.865
-1.541 -2.766 2.023
3.919 0.503 3.673
Ag Se Zr
2 1 1
direct
0.000 0.000 0.746
0.000 0.000 0.254
0.500 0.500 0.000
0.500 0.500 0.500
```

Crystal system ... tetragonal
Density ... 8.41 g cm⁻³
E_tot ... -5.072 eV per atom
Energy relative to the elements, uncorrected ... -70 kJ/mol of formula units
SG ... P4/mmm

---

No. 2
This record from Alexandria describes a relaxed TaBi3Te crystal. The functional is PBEsol.

Geometry as POSCAR:
```
TaBi3Te
1.0
5.634 0.000 0.000
0.000 5.634 0.000
0.000 0.000 5.634
Te Bi Ta
1 3 1
direct
0.000 0.000 0.000
0.000 0.500 0.000
0.000 0.000 0.500
0.500 0.000 0.000
0.500 0.500 0.500
```

Crystal system ... cubic
Density ... 8.69 g cm⁻³
E_tot ... -4.119 eV per atom
Energy relative to the elements, uncorrected ... 805 kJ/mol of formula units
SG ... Pm-3m

---

No. 3
This record from Alexandria describes a relaxed CrOs2Se crystal. The functional is PBEsol.

Geometry as POSCAR:
```
CrOs2Se
1.0
3.786 0.000 0.000
0.000 3.786 0.000
-1.893 -1.893 3.912
Cr Os Se
1 2 1
direct
0.250 0.750 0.500
0.000 0.000 0.000
0.750 0.250 0.500
0.500 0.500 0.000
```

Crystal system ... tetragonal
Density ... 15.15 g cm⁻³
E_tot ... -8.948 eV per atom
Energy relative to the elements, uncorrected ... 264 kJ/mol of formula units
SG ... I-4m2

---

No. 4
This record from Alexandria describes a relaxed CeCuSi crystal. The functional is PBEsol.

Geometry as POSCAR:
```
CeCuSi
1.0
4.084 0.000 0.000
-2.042 3.537 0.000
0.000 0.000 7.866
Si Cu Ce
2 2 2
direct
0.667 0.333 0.250
0.333 0.667 0.750
0.667 0.333 0.750
0.333 0.667 0.250
0.000 0.000 0.500
0.000 0.000 0.000
```

Crystal system ... hexagonal
Density ... 6.77 g cm⁻³
E_tot ... -6.092 eV per atom
Energy relative to the elements, uncorrected ... -154 kJ/mol of formula units
SG ... P6_3/mmc

---

No. 5
This record from Alexandria describes a relaxed BaLaY2 crystal. The functional is PBEsol.

Geometry as POSCAR:
```
BaLaY2
1.0
5.218 0.000 0.000
0.000 5.218 0.000
-2.609 -2.609 5.200
Ba La Y
1 1 2
direct
0.500 0.500 0.000
0.250 0.750 0.500
0.000 0.000 0.000
0.750 0.250 0.500
```

Crystal system ... tetragonal
Density ... 5.33 g cm⁻³
E_tot ... -5.073 eV per atom
Calculated formation energy ... 0.212 eV per atom
SG ... I-4m2

---

No. 6
This record from Alexandria describes a relaxed K3FeC crystal. The functional is PBEsol.

Geometry as POSCAR:
```
K3FeC
1.0
5.972 0.000 0.000
0.000 5.972 0.000
0.000 0.000 5.972
C K Fe
1 3 1
direct
0.500 0.500 0.500
0.000 0.500 0.000
0.000 0.000 0.500
0.500 0.000 0.000
0.000 0.000 0.000
```

Crystal system ... cubic
Density ... 1.44 g cm⁻³
E_tot ... -2.353 eV per atom
Calculated formation energy ... 2.048 eV per atom
SG ... Pm-3m

---

No. 7
This record from Alexandria describes a relaxed K3GaRh crystal. The functional is PBEsol.

Geometry as POSCAR:
```
K3GaRh
1.0
-5.193 3.020 0.992
-1.775 -4.331 3.894
2.637 3.032 4.574
K Rh Ga
3 1 1
direct
0.000 0.500 0.000
0.000 0.000 0.500
0.500 0.000 0.000
0.500 0.500 0.500
0.000 0.000 0.000
```

Crystal system ... cubic
Density ... 2.13 g cm⁻³
E_tot ... -1.828 eV per atom
Calculated formation energy ... 1.148 eV per atom
SG ... Pm-3m

---

No. 8
This record from Alexandria describes a relaxed Fe2CoW crystal. The functional is PBEsol.

Geometry as POSCAR:
```
Fe2CoW
1.0
3.561 0.000 0.000
0.000 3.561 0.000
0.000 0.000 3.547
Co Fe W
1 2 1
direct
0.000 0.000 0.500
0.000 0.500 0.000
0.500 0.000 0.000
0.500 0.500 0.500
```

Crystal system ... tetragonal
Density ... 13.08 g cm⁻³
E_tot ... -9.900 eV per atom
Energy above the most stable polymorph in this dataset ... 0.0 meV/atom
Calculated formation energy ... -0.032 eV per atom
SG ... P4/mmm

---

No. 9
This record from Alexandria describes a relaxed RbTaCr3 crystal. The functional is PBEsol.

Geometry as POSCAR:
```
RbTaCr3
1.0
-0.723 0.917 -4.803
1.862 -4.438 -1.127
-4.521 -1.975 0.303
Cr Rb Ta
3 1 1
direct
0.000 0.500 0.000
0.000 0.000 0.500
0.500 0.000 0.000
0.500 0.500 0.500
0.000 0.000 0.000
```

Crystal system ... cubic
Density ... 5.81 g cm⁻³
E_tot ... -7.112 eV per atom
Energy above the most stable polymorph in this dataset ... 0.0 meV/atom
Calculated formation energy ... 1.749 eV per atom
SG ... Pm-3m

---

No. 10
This record from Alexandria describes a relaxed La3CdO crystal. The functional is PBEsol.

Geometry as POSCAR:
```
La3CdO
1.0
5.006 0.000 0.000
0.000 5.006 0.000
0.000 0.000 5.006
Cd O La
1 1 3
direct
0.500 0.500 0.500
0.000 0.000 0.000
0.000 0.500 0.000
0.000 0.000 0.500
0.500 0.000 0.000
```

Crystal system ... cubic
Density ... 7.21 g cm⁻³
E_tot ... -5.832 eV per atom
Energy relative to the elements, uncorrected ... -644 kJ/mol of formula units
SG ... Pm-3m

---

No. 11
This record from Alexandria describes a relaxed CeSiRu2C crystal. The functional is PBEsol.

Geometry as POSCAR:
```
CeSiRu2C
1.0
3.859 0.000 0.000
-1.929 5.534 0.000
0.000 0.000 7.045
Ce Si Ru C
2 2 4 2
direct
0.447 0.894 0.250
0.553 0.106 0.750
0.727 0.454 0.250
0.273 0.546 0.750
0.165 0.330 0.443
0.835 0.670 0.557
0.835 0.670 0.943
0.165 0.330 0.057
0.000 0.000 0.500
0.000 0.000 0.000
```

Crystal system ... orthorhombic
Density ... 8.44 g cm⁻³
E_tot ... -9.043 eV per atom
Energy relative to the elements, uncorrected ... -278 kJ/mol of formula units
SG ... Cmcm

---

No. 12
This record from Alexandria describes a relaxed Zn3Fe crystal. The functional is PBEsol.

Geometry as POSCAR:
```
Zn3Fe
1.0
-0.298 2.468 -0.774
-3.803 -1.166 -2.254
-0.937 1.235 4.301
Zn Fe
3 1
direct
0.500 0.000 0.500
0.500 0.500 0.000
0.000 0.500 0.500
0.000 0.000 0.000
```

Crystal system ... orthorhombic
Density ... 8.25 g cm⁻³
E_tot ... -3.423 eV per atom
Calculated formation energy ... 0.004 eV per atom
SG ... Cmmm

---

| no. | N(E_F) (states/eV/atom) |
| --- | --- |
| 1 | 0.91 |
| 2 | 1.67 |
| 3 | 0.90 |
| 4 | 1.48 |
| 5 | 1.76 |
| 6 | 2.32 |
| 7 | 2.57 |
| 8 | 1.03 |
| 9 | 0.37 |
| 10 | 0.74 |
| 11 | 0.71 |
| 12 | 0.31 |